No. 1
Computed, not measured: V6FeRh after structural relaxation at the PBE level of DFT.

Unit cell a=4.172 b=5.133 c=5.133 alpha=109.64 beta=90.00 gamma=90.00
Element x y z (fractional)
V: 0.500 0.500 0.000
V: 0.500 0.000 0.500
V: 0.000 0.751 0.249
V: 0.000 0.239 0.239
V: 0.000 0.761 0.761
V: 0.000 0.249 0.751
Fe: 0.500 0.000 0.000
Rh: 0.500 0.500 0.500

No. 2
Computed, not measured: V2Fe3Rh4 after structural relaxation at the PBE level of DFT.

Unit cell a=5.390 b=5.277 c=9.948 alpha=77.05 beta=116.74 gamma=103.77
Site moments in Bohr magnetons follow the coordinates.
Element x y z (fractional)
V: 0.133 0.591 0.811  -1.08
V: 0.670 0.846 0.570  -0.78
V: 0.867 0.409 0.189  -1.08
V: 0.330 0.154 0.430  -0.78
Rh: 0.415 0.069 0.738  0.35
Rh: 0.912 0.238 0.973  0.29
Rh: 0.583 0.594 0.790  0.23
Rh: 0.088 0.762 0.027  0.29
Rh: 0.417 0.406 0.210  0.23
Rh: 0.585 0.931 0.262  0.35
Rh: 0.063 0.743 0.528  0.19
Rh: 0.937 0.257 0.472  0.19
Fe: 0.577 0.777 0.015  2.53
Fe: 0.288 0.614 0.382  2.07
Fe: 0.014 0.945 0.223  2.27
Fe: 0.423 0.223 0.985  2.53
Fe: 0.712 0.386 0.618  2.07
Fe: 0.986 0.055 0.777  2.27

No. 3
Computed, not measured: V2FeRh9 after structural relaxation at the PBE level of DFT.

Unit cell a=3.808 b=3.808 c=11.424 alpha=90.00 beta=90.00 gamma=90.00
Site moments in Bohr magnetons follow the coordinates.
Element x y z (fractional)
Rh: 0.500 0.000 0.500  0.00
Rh: 0.000 0.500 0.169  0.12
Rh: 0.500 0.000 0.169  0.12
Rh: 0.500 0.500 0.000  0.19
Rh: 0.500 0.000 0.831  0.12
Rh: 0.500 0.500 0.666  0.00
Rh: 0.000 0.500 0.500  0.00
Rh: 0.500 0.500 0.334  0.00
Rh: 0.000 0.500 0.831  0.12
V: 0.000 0.000 0.331  0.04
V: 0.000 0.000 0.669  0.04
Fe: 0.000 0.000 0.000  3.05

No. 4
Computed, not measured: V2FeRh8 after structural relaxation at the PBE level of DFT.

Unit cell a=4.005 b=6.706 c=7.014 alpha=118.56 beta=106.59 gamma=90.00
Site moments in Bohr magnetons follow the coordinates.
Element x y z (fractional)
Rh: 0.655 0.868 0.310  0.07
Rh: 0.852 0.852 0.703  0.18
Rh: 0.655 0.441 0.310  0.07
Rh: 0.000 0.307 0.000  0.10
Rh: 0.345 0.559 0.690  0.07
Rh: 0.345 0.132 0.690  0.07
Rh: 0.148 0.148 0.297  0.18
Rh: 0.000 0.693 0.000  0.10
Fe: 0.500 0.000 0.000  2.94
V: 0.202 0.702 0.403  -0.10
V: 0.798 0.298 0.597  -0.10

No. 5
Computed, not measured: V3FeRh2 after structural relaxation at the PBE level of DFT.

Unit cell a=3.871 b=6.122 c=6.996 alpha=90.00 beta=90.00 gamma=71.57
Element x y z (fractional)
Fe: 0.334 0.333 0.000
Fe: 0.666 0.667 0.000
Rh: 0.000 0.000 0.000
Rh: 0.333 0.333 0.500
Rh: 0.000 0.000 0.500
Rh: 0.667 0.667 0.500
V: 0.827 0.345 0.231
V: 0.500 0.000 0.243
V: 0.827 0.345 0.769
V: 0.173 0.655 0.231
V: 0.500 0.000 0.757
V: 0.173 0.655 0.769

No. 6
Computed, not measured: VFe4Rh15 after structural relaxation at the PBE level of DFT.

Unit cell a=3.812 b=3.812 c=18.995 alpha=90.00 beta=90.00 gamma=90.00
Site moments in Bohr magnetons follow the coordinates.
Element x y z (fractional)
Rh: 0.000 0.500 0.901  0.10
Rh: 0.500 0.500 0.400  0.26
Rh: 0.500 0.000 0.700  0.28
Rh: 0.000 0.500 0.500  0.25
Rh: 0.000 0.500 0.300  0.28
Rh: 0.500 0.500 0.000  0.01
Rh: 0.500 0.500 0.200  0.23
Rh: 0.500 0.000 0.099  0.10
Rh: 0.500 0.500 0.800  0.23
Rh: 0.500 0.000 0.901  0.10
Rh: 0.000 0.500 0.700  0.28
Rh: 0.500 0.000 0.300  0.28
Rh: 0.000 0.500 0.099  0.10
Rh: 0.500 0.000 0.500  0.25
Rh: 0.500 0.500 0.600  0.26
V: 0.000 0.000 0.000  -0.07
Fe: 0.000 0.000 0.799  3.05
Fe: 0.000 0.000 0.201  3.05
Fe: 0.000 0.000 0.400  3.08
Fe: 0.000 0.000 0.600  3.08

No. 7
Computed, not measured: V6FeRh12 after structural relaxation at the PBE level of DFT.

Unit cell a=6.436 b=6.436 c=6.436 alpha=88.55 beta=88.55 gamma=88.55
Element x y z (fractional)
Rh: 0.984 0.848 0.641
Rh: 0.542 0.434 0.796
Rh: 0.152 0.359 0.016
Rh: 0.434 0.796 0.542
Rh: 0.566 0.204 0.458
Rh: 0.641 0.984 0.848
Rh: 0.016 0.152 0.359
Rh: 0.848 0.641 0.984
Rh: 0.204 0.458 0.566
Rh: 0.359 0.016 0.152
Rh: 0.458 0.566 0.204
Rh: 0.796 0.542 0.434
V: 0.741 0.283 0.113
V: 0.887 0.259 0.717
V: 0.717 0.887 0.259
V: 0.113 0.741 0.283
V: 0.283 0.113 0.741
V: 0.259 0.717 0.887
Fe: 0.000 0.000 0.000

No. 8
Computed, not measured: V2Fe2Rh after structural relaxation at the PBE level of DFT.

Properties
The value obtained for the relative energy among the computed polymorphs is 0.0 meV/atom.

Unit cell a=6.627 b=6.627 c=2.813 alpha=90.00 beta=90.00 gamma=90.00
Element x y z (fractional)
Fe: 0.872 0.628 0.000
Fe: 0.628 0.128 0.000
Fe: 0.372 0.872 0.000
Fe: 0.128 0.372 0.000
V: 0.830 0.330 0.500
V: 0.670 0.830 0.500
V: 0.170 0.670 0.500
V: 0.330 0.170 0.500
Rh: 0.500 0.500 0.000
Rh: 0.000 0.000 0.000

Quick rundown of energy, same order as above: -72.11, -146.23, -96.22, -87.08, -103.96, -155.67, -155.97, -85.82 eV per cell
Quick rundown of D(E_F), same order as above: 6.2, 18.4, 9.3, 11.6, 15.5, 21.1, 18.4, 15.6 states/eV per cell